Density functional theory data (PBE-GGA) for Mn5V2CrB2 after structural relaxation.

Output
The density of states at the Fermi level is 13.20 states/eV/cell. As for the energy of formation from the pure elements: -0.302 eV per atom. For the calculated volume, the calculation gives 10.36 Å³ per atom. Its space group is P4/mbm (127).

Geometry as extended XYZ:
```
20
Lattice="2.8741 0.0000 0.0000 0.0000 8.4895 0.0000 0.0000 0.0000 8.4895" Properties=species:S:1:pos:R:3 pbc="T T T"
V 0.0000 1.4808 2.7640
V 0.0000 5.7255 1.4808
Mn 1.4371 6.6977 7.9065
Cr 0.0000 4.2448 4.2448
B 0.0000 7.4418 3.1970
Mn 1.4371 2.4529 4.8277
Mn 1.4371 6.0366 3.6618
V 0.0000 2.7640 7.0087
Mn 1.4371 0.0000 4.2448
Mn 1.4371 4.2448 0.0000
Mn 1.4371 1.7918 0.5830
B 0.0000 3.1970 1.0477
Cr 0.0000 0.0000 0.0000
B 0.0000 5.2925 7.4418
V 0.0000 7.0087 5.7255
B 0.0000 1.0477 5.2925
Mn 1.4371 3.6618 2.4529
Mn 1.4371 7.9065 1.7918
Mn 1.4371 4.8277 6.0366
Mn 1.4371 0.5830 6.6977
```